## CrNiHPt2 (PBE)

Data for a relaxed CrNiHPt2 crystal.

POSCAR file:
```
CrNiHPt2
1.0
3.905 0.000 0.000
0.000 3.905 0.000
0.000 0.000 3.877
Cr Ni H Pt
1 1 1 2
direct
0.000 0.000 0.000
0.500 0.500 0.000
0.000 0.000 0.500
0.000 0.500 0.500
0.500 0.000 0.500
```

Computed properties:
**Space group**: No. 123

***

## NdHoEr4 (PBE)

Data for a relaxed NdHoEr4 crystal.

POSCAR file:
```
NdHoEr4
1.0
3.540 0.000 0.000
0.000 4.997 0.000
-0.036 0.000 10.609
Nd Ho Er
1 1 4
direct
0.000 0.000 0.000
0.500 0.500 0.500
0.001 0.000 0.335
0.499 0.500 0.830
0.501 0.500 0.170
0.999 0.000 0.665
```

Computed properties:
**ΔH_f (0 K)**: 21 meV/atom
**Space group**: No. 10

***

no.,raw total energy (hartree per atom),spin magnetization (μB per formula unit)
1,-0.2281,3.385
2,-0.1682,0.000